Compound: Cs2SiH5F
Source: Alexandria via LeMat-Bulk
Functional: PBE-GGA
Structure: relaxed

Output
SG: No. 107
Spin magnetization: 0.00 μB per cell
E_tot: -3.585 eV/atom

Cell lengths 6.1633, 6.1633, 6.1633 Å; angles 120.13, 120.13, 89.77 degrees
Element x y z (fractional)
Cs 0.0000 0.5000 0.5000
Cs 0.5000 0.0000 0.5000
Si 0.2619 0.2619 0.0000
H 0.0748 0.0748 0.6322
H 0.0748 0.4427 0.0000
H 0.4427 0.0748 0.0000
H 0.4427 0.4427 0.3678
H 0.4443 0.4443 0.0000
F 0.0532 0.0532 0.0000



Compound: Mn5Os
Source: Alexandria via LeMat-Bulk
Functional: PBE-GGA
Structure: relaxed

Output
SG: No. 191
Spin magnetization: 0.35 μB per cell
Formation enthalpy at 0 K: 0.367 eV per atom

Cell lengths 4.5564, 4.5564, 3.9727 Å; angles 90.00, 90.00, 120.00 degrees
Element x y z (fractional)
Mn 0.0000 0.5000 0.0000
Mn 0.3333 0.6667 0.5000
Mn 0.5000 0.0000 0.0000
Mn 0.5000 0.5000 0.0000
Mn 0.6667 0.3333 0.5000
Os 0.0000 0.0000 0.5000



Compound: MgNpMnIr
Source: Alexandria via LeMat-Bulk
Functional: PBE-GGA
Structure: relaxed

Output
SG: No. 216
Spin magnetization: 2.95 μB per cell
Formation enthalpy at 0 K: -0.096 eV per atom

Cell lengths 6.5587, 6.5587, 6.5587 Å; angles 90.00, 90.00, 90.00 degrees
Element x y z (fractional)
Mg 0.0000 0.0000 0.0000
Mg 0.0000 0.5000 0.5000
Mg 0.5000 0.0000 0.5000
Mg 0.5000 0.5000 0.0000
Np 0.0000 0.0000 0.5000
Np 0.0000 0.5000 0.0000
Np 0.5000 0.0000 0.0000
Np 0.5000 0.5000 0.5000
Mn 0.2500 0.2500 0.2500
Mn 0.2500 0.7500 0.7500
Mn 0.7500 0.2500 0.7500
Mn 0.7500 0.7500 0.2500
Ir 0.2500 0.2500 0.7500
Ir 0.2500 0.7500 0.2500
Ir 0.7500 0.2500 0.2500
Ir 0.7500 0.7500 0.7500